Record 1
A relaxed structure of MgAl2Pt, computed with GGA-PBE.

Values from the calculation:
Total magnetization: 0.00 μB per formula unit
Energy: -16.96 eV/cell
Calculated formation energy: -0.4605 eV per atom

abc: 2.976 2.976 7.731
angles: 90.00 90.00 90.00
Space group P4/mmm (No. 123)
One atom of each set of equivalent atoms:
Mg 0.000 0.000 0.000 [1 per cell]
Al 0.500 0.500 0.287 [2 per cell]
Pt 0.000 0.000 0.500 [1 per cell]

***

Record 2
A relaxed structure of MgAlPt4, computed with GGA-PBE.

Values from the calculation:
Total magnetization: 0.00 μB per formula unit
Energy relative to the lowest polymorph listed for this composition: 0.0 kJ/mol of atoms
Energy: -32.78 eV/cell
Calculated formation energy: -0.5463 eV per atom

abc: 4.145 4.145 5.950
angles: 90.00 90.00 90.00
Space group P4/mmm (No. 123)
One atom of each set of equivalent atoms:
Mg 0.000 0.000 0.000 [1 per cell]
Al 0.500 0.500 0.500 [1 per cell]
Pt 0.000 0.500 0.259 [4 per cell]

***

Record 3
A relaxed structure of MgAl2Pt, computed with GGA-PBE.

Values from the calculation:
Total magnetization: 0.00 μB per formula unit
Energy: -16.94 eV/cell
Calculated formation energy: -0.4559 eV per atom

abc: 3.024 4.435 5.081
angles: 90.00 96.95 90.00
Space group P2/m (No. 10)
One atom of each set of equivalent atoms:
Mg 0.000 0.000 0.000 [1 per cell]
Al 0.388 0.500 0.743 [2 per cell]
Pt 0.500 0.000 0.500 [1 per cell]

***

Record 4
A relaxed structure of MgAl8Pt6, computed with GGA-PBE.

Values from the calculation:
Total magnetization: 0.00 μB per formula unit
Energy: -247.74 eV/cell
Calculated formation energy: -0.9866 eV per atom

abc: 7.3944 7.3944 15.6884
angles: 90.00 90.00 120.00
Space group R-3 (No. 148, hexagonal axes)
One atom of each set of equivalent atoms:
Mg 0.0000 0.0000 0.0000 [3 per cell]
Al 0.0000 0.0000 0.3334 [6 per cell]
Al 0.0010 0.6711 0.1169 [18 per cell]
Pt 0.0005 0.6593 0.9430 [18 per cell]

***

Record 5
A relaxed structure of Mg2Al5Pt3, computed with GGA-PBE.

Values from the calculation:
Total magnetization: 0.00 μB per formula unit
Energy: -190.78 eV/cell
Calculated formation energy: -0.7670 eV per atom

abc: 4.159 24.292 6.720
angles: 90.00 90.00 90.00
Space group Cmc2_1 (No. 36)
One atom of each set of equivalent atoms:
Mg 0.000 0.024 0.000 [4 per cell]
Mg 0.000 0.318 0.130 [4 per cell]
Al 0.000 0.097 0.389 [4 per cell]
Al 0.000 0.206 0.945 [4 per cell]
Al 0.000 0.209 0.354 [4 per cell]
Al 0.000 0.376 0.541 [4 per cell]
Al 0.000 0.442 0.167 [4 per cell]
Pt 0.000 0.115 0.768 [4 per cell]
Pt 0.000 0.273 0.654 [4 per cell]
Pt 0.000 0.458 0.788 [4 per cell]

***

Record 6
A relaxed structure of Mg3Al7Pt4, computed with GGA-PBE.

Values from the calculation:
Total magnetization: 0.00 μB per formula unit
Energy: -130.30 eV/cell
Calculated formation energy: -0.7147 eV per atom

abc: 14.704 4.111 9.360
angles: 90.00 121.06 90.00
Space group C2/m (No. 12)
One atom of each set of equivalent atoms:
Mg 0.000 0.000 0.000 [2 per cell]
Mg 0.190 0.500 0.698 [4 per cell]
Al 0.000 0.000 0.500 [2 per cell]
Al 0.007 0.500 0.293 [4 per cell]
Al 0.163 0.000 0.426 [4 per cell]
Al 0.183 0.500 0.018 [4 per cell]
Pt 0.113 0.000 0.822 [4 per cell]
Pt 0.171 0.500 0.276 [4 per cell]

***

Record 7
A relaxed structure of Mg3AlPt3, computed with GGA-PBE.

Values from the calculation:
Total magnetization: 0.00 μB per formula unit
Energy relative to the lowest polymorph listed for this composition: 12.3 kJ/mol of atoms
Energy: -125.71 eV/cell
Calculated formation energy: -0.6828 eV per atom

abc: 6.975 8.794 7.990
angles: 90.00 92.43 90.00
Space group C2/m (No. 12)
One atom of each set of equivalent atoms:
Mg 0.000 0.178 0.000 [4 per cell]
Mg 0.000 0.245 0.500 [4 per cell]
Mg 0.078 0.500 0.807 [4 per cell]
Al 0.237 0.500 0.457 [4 per cell]
Pt 0.037 0.000 0.281 [4 per cell]
Pt 0.237 0.283 0.247 [8 per cell]

***

Record 8
A relaxed structure of MgAl2Pt, computed with GGA-PBE.

Values from the calculation:
Total magnetization: 0.00 μB per formula unit
Energy: -34.27 eV/cell
Calculated formation energy: -0.5033 eV per atom

abc: 2.874 4.690 10.239
angles: 90.00 90.00 90.00
Space group Immm (No. 71)
One atom of each set of equivalent atoms:
Mg 0.000 0.000 0.000 [2 per cell]
Al 0.000 0.500 0.212 [4 per cell]
Pt 0.000 0.000 0.500 [2 per cell]

***

Question: Which formula does entry 1 have?
Answer: MgAl2Pt

***

Question: What is the formula in the eighth record?
Answer: MgAl2Pt

***

Question: Look up the total magnetization of the fifth one.
Answer: 0.00 μB per formula unit